# YCr2TeO8

Crystalline YCr2TeO8 at its relaxed geometry (PBE+U, Alexandria).

Summary:
D(E_F) = 3.99 states/eV per cell
DFT total energy = -0.2628 Ha/atom

Lattice parameters (Å, degrees): 4.707 6.450 4.712 90.00 90.96 90.00
Atoms (fractional coordinates):
Y1 0.000 0.000 0.000
Cr1 0.500 0.250 0.500
Cr2 0.500 0.750 0.500
Te1 0.000 0.500 0.000
O1 0.200 0.279 0.198
O2 0.200 0.721 0.198
O3 0.297 0.500 0.701
O4 0.326 0.000 0.671
O5 0.674 0.000 0.329
O6 0.703 0.500 0.299
O7 0.800 0.279 0.802
O8 0.800 0.721 0.802